(a)
Na2SnSF after structural relaxation, computed with PBE-GGA.

Size of the total moment: 0.43 μB per formula unit

abc: 5.504 5.504 4.139
angles: 90.00 90.00 90.00
Fractional coordinates of all 5 atoms:
Na: 0.000 0.500 0.000
Na: 0.500 0.000 0.000
Sn: 0.000 0.000 0.500
S: 0.500 0.500 0.000
F: 0.500 0.500 0.500


(b)
Na2SnSF after structural relaxation, computed with PBE-GGA.

Size of the total moment: 0.00 μB per formula unit

abc: 4.454 4.454 5.359
angles: 90.00 90.00 90.00
Fractional coordinates of all 5 atoms:
Na: 0.000 0.500 0.000
Na: 0.500 0.000 0.000
Sn: 0.000 0.000 0.500
S: 0.500 0.500 0.500
F: 0.000 0.000 0.000


Pick (b): it beats the second-best structure by 678 meV per atom.


(a)
NaSbF2 after structural relaxation, computed with PBE-GGA.

Size of the total moment: 0.00 μB per formula unit

abc: 6.425 6.425 6.425
angles: 90.00 90.00 90.00
Fractional coordinates of all 16 atoms:
Na: 0.000 0.000 0.000
Na: 0.000 0.500 0.500
Na: 0.500 0.000 0.500
Na: 0.500 0.500 0.000
Sb: 0.000 0.000 0.500
Sb: 0.000 0.500 0.000
Sb: 0.500 0.000 0.000
Sb: 0.500 0.500 0.500
F: 0.250 0.250 0.250
F: 0.250 0.250 0.750
F: 0.250 0.750 0.250
F: 0.250 0.750 0.750
F: 0.750 0.250 0.250
F: 0.750 0.250 0.750
F: 0.750 0.750 0.250
F: 0.750 0.750 0.750


(b)
NaSbF2 after structural relaxation, computed with PBE-GGA.

Size of the total moment: 0.00 μB per formula unit

abc: 3.400 3.400 20.760
angles: 90.00 90.00 120.00
Fractional coordinates of all 12 atoms:
Na: 0.000 0.000 0.000
Na: 0.333 0.667 0.667
Na: 0.667 0.333 0.333
Sb: 0.000 0.000 0.500
Sb: 0.333 0.667 0.167
Sb: 0.667 0.333 0.833
F: 0.000 0.000 0.393
F: 0.000 0.000 0.607
F: 0.333 0.667 0.060
F: 0.333 0.667 0.273
F: 0.667 0.333 0.727
F: 0.667 0.333 0.940


Pick (b): it beats the second-best structure by 818 meV per atom.


(a)
Na2SbF2 after structural relaxation, computed with PBE-GGA.

Size of the total moment: 0.00 μB per formula unit

abc: 7.693 7.693 2.967
angles: 90.00 90.00 90.00
Fractional coordinates of all 10 atoms:
Na: 0.122 0.378 0.000
Na: 0.378 0.878 0.000
Na: 0.622 0.122 0.000
Na: 0.878 0.622 0.000
Sb: 0.000 0.000 0.500
Sb: 0.500 0.500 0.500
F: 0.125 0.625 0.500
F: 0.375 0.125 0.500
F: 0.625 0.875 0.500
F: 0.875 0.375 0.500


(b)
Na2SbF2 after structural relaxation, computed with PBE-GGA.

Size of the total moment: 1.12 μB per formula unit

abc: 4.059 4.059 14.419
angles: 90.00 90.00 90.00
Fractional coordinates of all 10 atoms:
Na: 0.000 0.500 0.250
Na: 0.000 0.500 0.750
Na: 0.500 0.000 0.250
Na: 0.500 0.000 0.750
Sb: 0.000 0.000 0.000
Sb: 0.500 0.500 0.500
F: 0.000 0.000 0.303
F: 0.000 0.000 0.697
F: 0.500 0.500 0.197
F: 0.500 0.500 0.803


Pick (a): it beats the second-best structure by 26 meV per atom.


(a)
Na2SbF after structural relaxation, computed with PBE-GGA.

Size of the total moment: 0.00 μB per formula unit

abc: 3.146 3.146 7.785
angles: 90.00 90.00 90.00
Fractional coordinates of all 4 atoms:
Na: 0.000 0.000 0.182
Na: 0.000 0.000 0.818
Sb: 0.500 0.500 0.500
F: 0.500 0.500 0.000


(b)
Na2SbF after structural relaxation, computed with PBE-GGA.

Size of the total moment: 2.00 μB per formula unit

abc: 7.290 7.290 7.290
angles: 90.00 90.00 90.00
Fractional coordinates of all 16 atoms:
Na: 0.250 0.250 0.250
Na: 0.250 0.250 0.750
Na: 0.250 0.750 0.250
Na: 0.250 0.750 0.750
Na: 0.750 0.250 0.250
Na: 0.750 0.250 0.750
Na: 0.750 0.750 0.250
Na: 0.750 0.750 0.750
Sb: 0.000 0.000 0.000
Sb: 0.000 0.500 0.500
Sb: 0.500 0.000 0.500
Sb: 0.500 0.500 0.000
F: 0.000 0.000 0.500
F: 0.000 0.500 0.000
F: 0.500 0.000 0.000
F: 0.500 0.500 0.500


(c)
Na2SbF after structural relaxation, computed with PBE-GGA.

Size of the total moment: 0.00 μB per formula unit

abc: 3.416 3.416 23.509
angles: 90.00 90.00 120.00
Fractional coordinates of all 12 atoms:
Na: 0.000 0.000 0.224
Na: 0.000 0.000 0.776
Na: 0.333 0.667 0.443
Na: 0.333 0.667 0.891
Na: 0.667 0.333 0.109
Na: 0.667 0.333 0.557
Sb: 0.000 0.000 0.000
Sb: 0.333 0.667 0.667
Sb: 0.667 0.333 0.333
F: 0.000 0.000 0.500
F: 0.333 0.667 0.167
F: 0.667 0.333 0.833


Pick (c): it beats the second-best structure by 80 meV per atom.


(a)
Na3SbF6 after structural relaxation, computed with PBE-GGA.

Size of the total moment: 0.00 μB per formula unit

abc: 3.839 6.751 6.792
angles: 118.88 97.53 96.27
Fractional coordinates of all 10 atoms:
Na: 0.000 0.000 0.000
Na: 0.000 0.000 0.500
Na: 0.000 0.500 0.000
Sb: 0.500 0.500 0.500
F: 0.002 0.385 0.618
F: 0.385 0.099 0.332
F: 0.386 0.328 0.099
F: 0.614 0.672 0.901
F: 0.615 0.901 0.668
F: 0.998 0.615 0.382


(b)
Na3SbF6 after structural relaxation, computed with PBE-GGA.

Size of the total moment: 0.00 μB per formula unit

abc: 6.213 6.213 6.213
angles: 60.00 60.00 60.00
Fractional coordinates of all 10 atoms:
Na: 0.000 0.000 0.000
Na: 0.250 0.250 0.250
Na: 0.750 0.750 0.750
Sb: 0.500 0.500 0.500
F: 0.252 0.252 0.748
F: 0.252 0.748 0.252
F: 0.252 0.748 0.748
F: 0.748 0.252 0.252
F: 0.748 0.252 0.748
F: 0.748 0.748 0.252


(c)
Na3SbF6 after structural relaxation, computed with PBE-GGA.

Size of the total moment: 0.00 μB per formula unit

abc: 4.527 6.539 6.763
angles: 63.93 74.17 88.61
Fractional coordinates of all 10 atoms:
Na: 0.000 0.000 0.000
Na: 0.000 0.500 0.000
Na: 0.500 0.000 0.500
Sb: 0.000 0.500 0.500
F: 0.082 0.744 0.636
F: 0.260 0.691 0.119
F: 0.306 0.244 0.646
F: 0.694 0.756 0.354
F: 0.740 0.309 0.881
F: 0.918 0.256 0.364


Pick (a): it beats the second-best structure by 10 meV per atom.


(a)
NaSbTe2F after structural relaxation, computed with PBE-GGA.

Size of the total moment: 0.00 μB per formula unit

abc: 5.328 5.328 5.450
angles: 90.00 90.00 90.00
Fractional coordinates of all 5 atoms:
Na: 0.000 0.000 0.000
Sb: 0.000 0.000 0.500
Te: 0.000 0.500 0.000
Te: 0.500 0.000 0.000
F: 0.500 0.500 0.500


(b)
NaSbTe2F after structural relaxation, computed with PBE-GGA.

Size of the total moment: 0.00 μB per formula unit

abc: 5.488 5.488 4.482
angles: 90.00 90.00 90.00
Fractional coordinates of all 5 atoms:
Na: 0.000 0.000 0.000
Sb: 0.500 0.500 0.000
Te: 0.000 0.500 0.500
Te: 0.500 0.000 0.500
F: 0.500 0.500 0.500


Pick (b): it beats the second-best structure by 796 meV per atom.


(a)
Na2ScF4 after structural relaxation, computed with PBE-GGA.

Size of the total moment: 0.02 μB per formula unit

abc: 12.251 3.074 6.039
angles: 90.00 118.77 90.00
Fractional coordinates of all 14 atoms:
Na: 0.200 0.000 0.204
Na: 0.300 0.500 0.796
Na: 0.700 0.500 0.204
Na: 0.800 0.000 0.796
Sc: 0.000 0.500 0.500
Sc: 0.500 0.000 0.500
F: 0.119 0.500 0.352
F: 0.135 0.000 0.775
F: 0.365 0.500 0.225
F: 0.381 0.000 0.648
F: 0.619 0.000 0.352
F: 0.635 0.500 0.775
F: 0.865 0.000 0.225
F: 0.881 0.500 0.648


(b)
Na2ScF4 after structural relaxation, computed with PBE-GGA.

Size of the total moment: 0.29 μB per formula unit

abc: 4.169 4.169 13.282
angles: 90.00 90.00 90.00
Fractional coordinates of all 14 atoms:
Na: 0.000 0.000 0.172
Na: 0.000 0.000 0.828
Na: 0.500 0.500 0.328
Na: 0.500 0.500 0.672
Sc: 0.000 0.000 0.500
Sc: 0.500 0.500 0.000
F: 0.000 0.000 0.346
F: 0.000 0.000 0.654
F: 0.000 0.500 0.000
F: 0.000 0.500 0.500
F: 0.500 0.000 0.000
F: 0.500 0.000 0.500
F: 0.500 0.500 0.154
F: 0.500 0.500 0.846


Pick (a): it beats the second-best structure by 34 meV per atom.


(a)
Na2Sc2F after structural relaxation, computed with PBE-GGA.

Size of the total moment: 2.53 μB per formula unit

abc: 3.630 3.630 18.028
angles: 90.00 90.00 90.00
Fractional coordinates of all 10 atoms:
Na: 0.000 0.500 0.250
Na: 0.000 0.500 0.750
Na: 0.500 0.000 0.250
Na: 0.500 0.000 0.750
Sc: 0.000 0.000 0.084
Sc: 0.000 0.000 0.916
Sc: 0.500 0.500 0.416
Sc: 0.500 0.500 0.584
F: 0.000 0.000 0.500
F: 0.500 0.500 0.000


(b)
Na2Sc2F after structural relaxation, computed with PBE-GGA.

Size of the total moment: 0.00 μB per formula unit

abc: 6.146 6.146 6.452
angles: 90.00 90.00 90.00
Fractional coordinates of all 10 atoms:
Na: 0.171 0.329 0.000
Na: 0.329 0.829 0.000
Na: 0.671 0.171 0.000
Na: 0.829 0.671 0.000
Sc: 0.169 0.669 0.500
Sc: 0.331 0.169 0.500
Sc: 0.669 0.831 0.500
Sc: 0.831 0.331 0.500
F: 0.000 0.000 0.500
F: 0.500 0.500 0.500


Pick (b): it beats the second-best structure by 692 meV per atom.